No. 1
VBi: optimized geometry, PBE-GGA.

Cell lengths 10.760, 10.760, 3.279 Å; angles 90.00, 90.00, 90.00 degrees
Positions (direct):
1 V 0.395 0.069 0.000
2 V 0.605 0.931 0.000
3 V 0.931 0.395 0.000
4 V 0.069 0.605 0.000
5 V 0.895 0.569 0.500
6 V 0.105 0.431 0.500
7 V 0.431 0.895 0.500
8 V 0.569 0.105 0.500
9 Bi 0.198 0.876 0.000
10 Bi 0.802 0.124 0.000
11 Bi 0.124 0.198 0.000
12 Bi 0.876 0.802 0.000
13 Bi 0.698 0.376 0.500
14 Bi 0.302 0.624 0.500
15 Bi 0.624 0.698 0.500
16 Bi 0.376 0.302 0.500

For the total moment, the calculation gives 0.0 Bohr magnetons per cell. For the energy relative to the elements, the calculation gives 6.09 kcal/mol of atoms. The density of states at the Fermi level comes out at 2.28 states/eV/f.u. The energy is -6.236 eV per atom.

---

No. 2
VBi: optimized geometry, PBE-GGA.

Cell lengths 8.312, 8.312, 4.646 Å; angles 90.00, 90.00, 120.00 degrees
Positions (direct):
1 V 0.432 0.864 0.250
2 V 0.568 0.432 0.750
3 V 0.136 0.568 0.250
4 V 0.568 0.136 0.750
5 V 0.432 0.568 0.250
6 V 0.864 0.432 0.750
7 Bi 0.808 0.616 0.250
8 Bi 0.192 0.808 0.750
9 Bi 0.384 0.192 0.250
10 Bi 0.192 0.384 0.750
11 Bi 0.808 0.192 0.250
12 Bi 0.616 0.808 0.750

For the total moment, the calculation gives 0.0 Bohr magnetons per cell. For the energy relative to the elements, the calculation gives 6.24 kcal/mol of atoms. The density of states at the Fermi level comes out at 2.58 states/eV/f.u. The energy is -6.229 eV per atom.

---

No. 3
VBi: optimized geometry, PBE-GGA.

Cell lengths 6.095, 6.095, 5.395 Å; angles 90.00, 90.00, 90.00 degrees
Positions (direct):
1 V 0.375 0.625 0.000
2 V 0.875 0.875 0.500
3 V 0.125 0.125 0.500
4 V 0.625 0.375 0.000
5 Bi 0.198 0.198 0.000
6 Bi 0.698 0.302 0.500
7 Bi 0.302 0.698 0.500
8 Bi 0.802 0.802 0.000

For the total moment, the calculation gives 0.0 Bohr magnetons per cell. For the energy relative to the elements, the calculation gives 14.36 kcal/mol of atoms. The density of states at the Fermi level comes out at 0.91 states/eV/f.u. The energy is -5.877 eV per atom.

---

No. 4
VBi: optimized geometry, PBE-GGA.

Cell lengths 7.777, 7.777, 7.777 Å; angles 90.00, 90.00, 90.00 degrees
Positions (direct):
1 V 0.250 0.000 0.500
2 V 0.750 0.000 0.500
3 V 0.000 0.500 0.250
4 V 0.000 0.500 0.750
5 V 0.500 0.250 0.000
6 V 0.500 0.750 0.000
7 Bi 0.250 0.500 0.000
8 Bi 0.750 0.500 0.000
9 Bi 0.500 0.000 0.250
10 Bi 0.500 0.000 0.750
11 Bi 0.000 0.250 0.500
12 Bi 0.000 0.750 0.500

For the total moment, the calculation gives 12.0 Bohr magnetons per cell. For the energy relative to the elements, the calculation gives 22.61 kcal/mol of atoms. The density of states at the Fermi level comes out at 4.43 states/eV/f.u. The energy is -5.519 eV per atom.

---

No. 5
VBi3: optimized geometry, PBE-GGA.

Cell lengths 3.489, 6.419, 6.138 Å; angles 121.53, 106.51, 90.00 degrees
Positions (direct):
1 Bi 0.312 0.643 0.624
2 Bi 0.500 0.429 0.000
3 Bi 0.688 0.019 0.376
4 V 0.000 0.076 0.000

For the total moment, the calculation gives 2.2 Bohr magnetons per cell. For the energy relative to the elements, the calculation gives 7.12 kcal/mol of atoms. The density of states at the Fermi level comes out at 4.16 states/eV/f.u. The energy is -4.882 eV per atom.

---

No. 6
VBi: optimized geometry, PBE-GGA.

Cell lengths 4.848, 4.848, 5.596 Å; angles 90.00, 90.00, 120.00 degrees
Positions (direct):
1 V 0.333 0.667 0.250
2 V 0.667 0.333 0.750
3 Bi 0.333 0.667 0.750
4 Bi 0.667 0.333 0.250

For the total moment, the calculation gives 4.2 Bohr magnetons per cell. For the energy relative to the elements, the calculation gives 16.18 kcal/mol of atoms. The density of states at the Fermi level comes out at 3.61 states/eV/f.u. The energy is -5.798 eV per atom.